Entry from Alexandria: an optimized crystal structure of CaIrAu4 (GGA-PBE).

* DOS(E_F): 0.62 states/eV/atom
* formation enthalpy at 0 K: -24.3 meV/atom
* E: -4.020 eV/atom

Cell lengths 7.7648, 7.7648, 7.7648 Å; angles 90.00, 90.00, 90.00 degrees
Space group F-43m (No. 216)
Unique sites:
Ca: 0.0000 0.0000 0.0000 x4
Ir: 0.2500 0.2500 0.7500 x4
Au: 0.1247 0.1247 0.3753 x16



Entry from Alexandria: an optimized crystal structure of BIrS3 (GGA-PBE).

* DOS(E_F): 1.46 states/eV/atom
* offset from the most stable computed form: 1692.9 meV per atom
* E: -4.176 eV/atom
* raw formation energy: 1.41 eV per atom

Cell lengths 4.6549, 4.6549, 4.6549 Å; angles 90.00, 90.00, 90.00 degrees
Space group Pm-3m (No. 221)
Unique sites:
B: 0.0000 0.0000 0.0000 x1
Ir: 0.5000 0.5000 0.5000 x1
S: 0.0000 0.5000 0.5000 x3



Entry from Alexandria: an optimized crystal structure of Cs2CdCuB (GGA-PBE).

* DOS(E_F): 0.98 states/eV/atom
* formation enthalpy at 0 K: 1048.2 meV/atom
* E: -1.631 eV/atom

Cell lengths 6.5890, 6.5890, 5.0724 Å; angles 90.00, 90.00, 90.00 degrees
Space group P4/mmm (No. 123)
Unique sites:
Cs: 0.0000 0.5000 0.0000 x2
Cd: 0.0000 0.0000 0.5000 x1
Cu: 0.0000 0.0000 0.0000 x1
B: 0.5000 0.5000 0.5000 x1



Entry from Alexandria: an optimized crystal structure of Li6In2Ag (GGA-PBE).

* DOS(E_F): 0.35 states/eV/atom
* formation enthalpy at 0 K: -164.6 meV/atom
* offset from the most stable computed form: 83.0 meV per atom
* E: -2.366 eV/atom

Cell lengths 13.4747, 5.4948, 4.7204 Å; angles 90.00, 110.20, 90.00 degrees
Space group C2/m (No. 12)
Unique sites:
Li: 0.1019 0.2323 0.1044 x8
Li: 0.2162 0.0000 0.7173 x4
In: 0.1253 0.5000 0.6277 x4
Ag: 0.0000 0.0000 0.5000 x2



Entry from Alexandria: an optimized crystal structure of Rb2CaHg2Se4 (GGA-PBE).

* E: -3.016 eV/atom
* raw formation energy: -0.96 eV per atom

Cell lengths 16.6425, 4.3887, 8.2055 Å; angles 90.00, 108.42, 90.00 degrees
Space group C2/m (No. 12)
Unique sites:
Rb: 0.1255 0.0000 0.0582 x4
Ca: 0.0000 0.0000 0.5000 x2
Hg: 0.1639 0.5000 0.4856 x4
Se: 0.0124 0.5000 0.2599 x4
Se: 0.2059 0.0000 0.6925 x4



Entry from Alexandria: an optimized crystal structure of SiIr2Cl (GGA-PBE).

* DOS(E_F): 0.18 states/eV/atom
* offset from the most stable computed form: 0.0 meV per atom
* E: -6.472 eV/atom
* raw formation energy: -0.22 eV per atom

Cell lengths 14.5245, 2.9514, 2.9608 Å; angles 90.00, 90.33, 90.00 degrees
Space group Cm (No. 8)
Unique sites:
Si: 0.0000 0.0000 0.0000 x2
Ir: 0.0945 0.5000 0.5058 x2
Ir: 0.4067 0.0000 0.4957 x2
Cl: 0.2457 0.0000 0.3971 x2



Entry from Alexandria: an optimized crystal structure of CsTaH3 (GGA-PBE).

* DOS(E_F): 0.17 states/eV/atom
* E: -4.083 eV/atom

Cell lengths 4.2149, 4.2149, 4.2149 Å; angles 90.00, 90.00, 90.00 degrees
Space group Pm-3m (No. 221)
Unique sites:
Cs: 0.0000 0.0000 0.0000 x1
Ta: 0.5000 0.5000 0.5000 x1
H: 0.0000 0.5000 0.5000 x3



Entry from Alexandria: an optimized crystal structure of Tb2Nd7Y2 (GGA-PBE).

* DOS(E_F): 1.49 states/eV/atom
* formation enthalpy at 0 K: 133.6 meV/atom
* offset from the most stable computed form: 0.0 meV per atom
* E: -4.918 eV/atom

Cell lengths 8.5761, 11.1309, 8.2840 Å; angles 90.00, 105.24, 90.00 degrees
Space group C2/m (No. 12)
Unique sites:
Tb: 0.0000 0.2173 0.0000 x4
Nd: 0.0000 0.5000 0.5000 x2
Nd: 0.0751 0.0000 0.3149 x4
Nd: 0.1965 0.2079 0.6685 x8
Y: 0.1956 0.5000 0.9768 x4